(1)
Crystalline Co2SbOs at its relaxed geometry. Source: Alexandria, functional PBE-GGA.

Unit cell a=3.661 b=2.845 c=6.094 alpha=62.15 beta=90.00 gamma=90.00
Element x y z (fractional)
Os  0.500  0.250  0.250
Co  0.000  0.525  0.475
Co  0.000  0.975  0.025
Sb  0.500  0.750  0.750

Properties
Size of the total moment: 0.4 μB/cell
Energy relative to the elements, uncorrected: 0.352 eV per atom
Final energy: -7.039 eV per atom
Crystal system: orthorhombic


(2)
Crystalline HfZnPd at its relaxed geometry. Source: Alexandria, functional PBE-GGA.

Unit cell a=6.530 b=8.622 c=4.862 alpha=90.00 beta=131.46 gamma=90.00
Element x y z (fractional)
Hf  0.750  0.740  0.250
Hf  0.750  0.240  0.750
Hf  0.250  0.260  0.750
Hf  0.250  0.760  0.250
Pd  0.250  0.591  0.750
Pd  0.750  0.409  0.250
Pd  0.250  0.091  0.250
Pd  0.750  0.909  0.750
Zn  0.750  0.569  0.750
Zn  0.250  0.931  0.750
Zn  0.250  0.431  0.250
Zn  0.750  0.069  0.250

Properties
Size of the total moment: 0.0 μB/cell
Final energy: -5.955 eV per atom
Crystal system: monoclinic
Formation enthalpy at 0 K: -11.1 kcal/mol of atoms


(3)
Crystalline ScCrMo2 at its relaxed geometry. Source: Alexandria, functional PBE-GGA.

Unit cell a=4.378 b=2.772 c=5.308 alpha=79.68 beta=90.00 gamma=90.00
Element x y z (fractional)
Sc  0.000  0.501  0.506
Mo  0.000  0.999  0.995
Mo  0.500  0.224  0.240
Cr  0.500  0.776  0.759

Properties
Size of the total moment: 0.0 μB/cell
Final energy: -9.195 eV per atom
Crystal system: monoclinic
Formation enthalpy at 0 K: 4.8 kcal/mol of atoms


(4)
Crystalline KIn4I5 at its relaxed geometry. Source: Alexandria, functional PBE-GGA.

Unit cell a=7.034 b=8.630 c=8.630 alpha=80.44 beta=65.95 gamma=65.95
Element x y z (fractional)
I  0.101  0.598  0.202
I  0.303  0.798  0.598
I  0.901  0.402  0.798
I  0.699  0.202  0.402
I  0.502  0.000  0.000
In  0.398  0.403  0.804
In  0.604  0.597  0.196
In  0.800  0.804  0.597
In  0.202  0.196  0.403
K  0.001  0.000  0.000

Properties
Size of the total moment: 0.0 μB/cell
Energy relative to the elements, uncorrected: -0.660 eV per atom
Final energy: -2.640 eV per atom
Crystal system: tetragonal


(5)
Crystalline Mn2BiAs2 at its relaxed geometry. Source: Alexandria, functional PBE-GGA.

Unit cell a=4.274 b=4.274 c=5.566 alpha=67.42 beta=67.42 gamma=90.00
Element x y z (fractional)
As  0.639  0.639  0.721
As  0.361  0.361  0.279
Bi  0.000  0.000  0.000
Mn  0.250  0.750  0.500
Mn  0.750  0.250  0.500

Properties
Size of the total moment: 0.0 μB/cell
Final energy: -6.183 eV per atom
Crystal system: tetragonal
Formation enthalpy at 0 K: 2.8 kcal/mol of atoms


(6)
Crystalline Tb2Y6In at its relaxed geometry. Source: Alexandria, functional PBE-GGA.

Unit cell a=3.497 b=10.158 c=9.635 alpha=121.81 beta=100.47 gamma=90.00
Element x y z (fractional)
Tb  0.846  0.346  0.692
Tb  0.154  0.654  0.308
Y  0.176  0.014  0.353
Y  0.824  0.661  0.647
Y  0.824  0.986  0.647
Y  0.500  0.698  0.000
Y  0.500  0.302  0.000
Y  0.176  0.339  0.353
In  0.000  0.000  0.000

Properties
Size of the total moment: 0.0 μB/cell
Final energy: -5.657 eV per atom
Crystal system: orthorhombic
Formation enthalpy at 0 K: -0.3 kcal/mol of atoms